(1)
# Sm3Mg2Zn

An optimized crystal structure of Sm3Mg2Zn (PBE-GGA, Alexandria).

Cell: 3.7337 3.7337 11.6141 Å, 90.00 90.00 90.00°
Last column: nearest neighbours and their distance in Å.
Atoms (fractional coordinates):
Sm: 0.0000 0.0000 0.0000  8 Mg 3.31
Sm: 0.0000 0.0000 0.6490  4 Zn 3.16, 4 Mg 3.36, 1 Sm 3.46
Sm: 0.0000 0.0000 0.3510  4 Zn 3.16, 4 Mg 3.36, 1 Sm 3.46
Mg: 0.5000 0.5000 0.8277  8 Sm 3.31-3.36
Mg: 0.5000 0.5000 0.1723  8 Sm 3.31-3.36
Zn: 0.5000 0.5000 0.5000  8 Sm 3.16

Computed properties:
- magnetic moment (μB per formula unit) = 0.00
- calculated formation energy (eV/atom) = -0.172
- calculated volume (Å³ per cell) = 162
- crystal system = tetragonal

---

(2)
# ScPaOsPd

An optimized crystal structure of ScPaOsPd (PBE-GGA, Alexandria).

Cell: 4.7914 4.7914 4.7914 Å, 60.00 60.00 60.00°
Last column: nearest neighbours and their distance in Å.
Atoms (fractional coordinates):
Sc: 0.0000 0.0000 0.0000  4 Os 2.93, 4 Pd 2.93
Pa: 0.5000 0.5000 0.5000  4 Os 2.93, 4 Pd 2.93
Os: 0.2500 0.2500 0.2500  4 Pa 2.93, 4 Sc 2.93
Pd: 0.7500 0.7500 0.7500  4 Pa 2.93, 4 Sc 2.93

Computed properties:
- magnetic moment (μB per formula unit) = 0.00
- calculated formation energy (eV/atom) = -0.463
- calculated volume (Å³ per cell) = 78
- crystal system = cubic

---

(3)
# La3Tb6SmHo2

An optimized crystal structure of La3Tb6SmHo2 (PBE-GGA, Alexandria).

Cell: 6.2534 6.2534 11.9367 Å, 95.01 95.01 120.03°
Last column: nearest neighbours and their distance in Å.
Atoms (fractional coordinates):
La: 0.1669 0.8331 0.5000  6 La 3.61, 6 Tb 3.65-3.66
La: 0.8331 0.1669 0.5000  6 La 3.61, 6 Tb 3.65-3.66
La: 0.5000 0.5000 0.5000  6 La 3.61, 6 Tb 3.65-3.66
Tb: 0.9186 0.5846 0.7554  2 Ho 3.55, 1 Sm 3.55, 6 Tb 3.61-3.62, 3 La 3.65-3.66
Tb: 0.7475 0.7475 0.2447  2 Ho 3.55, 1 Sm 3.55, 6 Tb 3.61-3.62, 3 La 3.65-3.66
Tb: 0.0814 0.4154 0.2446  2 Ho 3.55, 1 Sm 3.55, 6 Tb 3.61-3.62, 3 La 3.65-3.66
Tb: 0.5846 0.9186 0.7554  2 Ho 3.55, 1 Sm 3.55, 6 Tb 3.61-3.62, 3 La 3.65-3.66
Tb: 0.2525 0.2525 0.7553  2 Ho 3.55, 1 Sm 3.55, 6 Tb 3.61-3.62, 3 La 3.65-3.66
Tb: 0.4154 0.0814 0.2446  2 Ho 3.55, 1 Sm 3.55, 6 Tb 3.61-3.62, 3 La 3.65-3.66
Sm: 0.0000 0.0000 0.0000  6 Tb 3.55, 6 Ho 3.61
Ho: 0.3333 0.6667 0.0000  6 Tb 3.55, 3 Ho 3.61, 3 Sm 3.61
Ho: 0.6667 0.3333 0.0000  6 Tb 3.55, 3 Ho 3.61, 3 Sm 3.61

Computed properties:
- magnetic moment (μB per formula unit) = 0.00
- calculated formation energy (eV/atom) = 0.020
- calculated volume (Å³ per cell) = 398
- crystal system = monoclinic

---

(4)
# TmAgGe

An optimized crystal structure of TmAgGe (PBE-GGA, Alexandria).

Cell: 3.4181 3.4181 5.8910 Å, 106.86 106.86 90.00°
Last column: nearest neighbours and their distance in Å.
Atoms (fractional coordinates):
Ge: 0.2928 0.2928 0.5855  4 Ag 2.88, 4 Tm 3.06
Tm: 0.6180 0.6180 0.2359  4 Ge 3.06, 4 Ag 3.09, 4 Tm 3.42
Ag: 0.9393 0.9393 0.8786  4 Ge 2.88, 4 Tm 3.09

Computed properties:
- magnetic moment (μB per formula unit) = 0.00
- calculated formation energy (eV/atom) = -0.242
- calculated volume (Å³ per cell) = 63
- crystal system = tetragonal

---

Q: calculated volume of number 2 (ScPaOsPd)?
A: 78 Å³ per cell

---

Q: What is the magnetic moment in the fourth record?
A: 0.00 μB per formula unit